1.
# PBE InCo, relaxed
data_InCo
_cell_length_a 4.1364
_cell_length_b 4.1364
_cell_length_c 6.2380
_cell_angle_alpha 90.00
_cell_angle_beta 90.00
_cell_angle_gamma 120.00
_space_group_name_H-M_alt 'P 63 m c'
_space_group_IT_number 186
_space_group_name_Hall 'P 6c -2c'
loop_
_atom_site_label
_atom_site_fract_x
_atom_site_fract_y
_atom_site_fract_z
In1 0.3333 0.6667 0.0000
Co1 0.3333 0.6667 0.5983
# Total moment, μB per formula unit: 0.9
# Uncorrected energy, eV/atom: -3.804

---

2.
# PBE In2Co7, relaxed
data_In2Co7
_cell_length_a 2.6975
_cell_length_b 2.6975
_cell_length_c 27.5310
_cell_angle_alpha 90.00
_cell_angle_beta 90.00
_cell_angle_gamma 120.00
_space_group_name_H-M_alt 'P -3 m 1'
_space_group_IT_number 164
_space_group_name_Hall '-P 3 2"'
loop_
_atom_site_label
_atom_site_fract_x
_atom_site_fract_y
_atom_site_fract_z
In1 0.3333 0.6667 0.2923
Co1 0.0000 0.0000 0.0000
Co2 0.0000 0.0000 0.2072
Co3 0.3333 0.6667 0.0693
Co4 0.3333 0.6667 0.8607
# Total moment, μB per formula unit: 11.8
# Uncorrected energy, eV/atom: -5.748

---

3.
# PBE InCo7, relaxed
data_InCo7
_cell_length_a 2.6594
_cell_length_b 2.6594
_cell_length_c 37.3480
_cell_angle_alpha 90.00
_cell_angle_beta 90.00
_cell_angle_gamma 90.00
_space_group_name_H-M_alt 'P 4/n m m'
_space_group_IT_number 129
loop_
_space_group_symop_operation_xyz
'x,y,z'
'-x,-y,-z'
'-y+1/2,x,z'
'y+1/2,-x,-z'
'-x+1/2,-y+1/2,z'
'x+1/2,y+1/2,-z'
'y,-x+1/2,z'
'-y,x+1/2,-z'
'x+1/2,-y,-z'
'-x+1/2,y,z'
'-y,-x,-z'
'y,x,z'
'-x,y+1/2,-z'
'x,-y+1/2,z'
'y+1/2,x+1/2,-z'
'-y+1/2,-x+1/2,z'
loop_
_atom_site_label
_atom_site_fract_x
_atom_site_fract_y
_atom_site_fract_z
In1 0.2500 0.2500 0.1712
Co1 0.2500 0.2500 0.2680
Co2 0.2500 0.2500 0.3526
Co3 0.2500 0.2500 0.4368
Co4 0.2500 0.2500 0.5210
Co5 0.2500 0.2500 0.6052
Co6 0.2500 0.2500 0.6890
Co7 0.2500 0.2500 0.7724
# Total moment, μB per formula unit: 8.4
# Polymorph energy (0 for the lowest one), meV per atom: 61
# Uncorrected energy, eV/atom: -6.337

---

4.
# PBE InCo3, relaxed
data_InCo3
_cell_length_a 5.3618
_cell_length_b 5.3618
_cell_length_c 4.2292
_cell_angle_alpha 90.00
_cell_angle_beta 90.00
_cell_angle_gamma 120.00
_space_group_name_H-M_alt 'P 63/m m c'
_space_group_IT_number 194
_space_group_name_Hall '-P 6c 2c'
loop_
_atom_site_label
_atom_site_fract_x
_atom_site_fract_y
_atom_site_fract_z
In1 0.3333 0.6667 0.2500
Co1 0.1536 0.3073 0.7500
# Total moment, μB per formula unit: 4.0
# Uncorrected energy, eV/atom: -5.826

---

Volume in Å³ per atom, matching the order above: 23.108; 19.276; 16.509; 13.162